No. 1
First-principles (PBE) data for an optimized crystal structure of Nd12AgRu6, as listed in Alexandria via LeMat-Bulk.

Output
Formation enthalpy at 0 K ... -3.0 eV per formula unit
Symmetry ... No. 204
V ... 27.49 Å³/atom
Density of states at the Fermi level ... 16.56 states/eV/f.u.

a b c (Å): 8.7877 8.7877 8.7877
angles (deg): 109.47 109.47 109.47
Fractional positions:
Nd 0.8037 0.7017 0.5054
Nd 0.7017 0.8980 0.1963
Ru 0.5000 0.1214 0.6214
Nd 0.2983 0.1020 0.8037
Ru 0.3786 0.5000 0.8786
Nd 0.8037 0.2983 0.1020
Nd 0.2983 0.4946 0.1963
Nd 0.8980 0.1963 0.7017
Ru 0.1214 0.6214 0.5000
Ru 0.6214 0.5000 0.1214
Ag 0.0000 0.0000 0.0000
Nd 0.1963 0.7017 0.8980
Nd 0.1020 0.8037 0.2983
Nd 0.7017 0.5054 0.8037
Nd 0.4946 0.1963 0.2983
Nd 0.5054 0.8037 0.7017
Ru 0.5000 0.8786 0.3786
Ru 0.8786 0.3786 0.5000
Nd 0.1963 0.2983 0.4946

***

No. 2
First-principles (PBE) data for an optimized crystal structure of NaBe2P2, as listed in Alexandria via LeMat-Bulk.

Output
Formation enthalpy at 0 K ... -1.7 eV per formula unit
Symmetry ... No. 139
Energy above the most stable polymorph in this dataset ... 0.0 kJ/mol of atoms
V ... 15.82 Å³/atom
Density of states at the Fermi level ... 0.78 states/eV/f.u.

a b c (Å): 3.4083 3.4083 7.2214
angles (deg): 76.35 76.35 90.00
Fractional positions:
Be 0.7500 0.2500 0.5000
P 0.3517 0.3517 0.2966
P 0.6483 0.6483 0.7034
Na 0.0000 0.0000 0.0000
Be 0.2500 0.7500 0.5000

***

No. 3
First-principles (PBE) data for an optimized crystal structure of CaNi3Pb, as listed in Alexandria via LeMat-Bulk.

Output
Formation enthalpy at 0 K ... 5.9 eV per formula unit
Symmetry ... No. 221
Energy above the most stable polymorph in this dataset ... 55.2 kJ/mol of atoms
V ... 20.42 Å³/atom
Density of states at the Fermi level ... 3.82 states/eV/f.u.

a b c (Å): 4.6742 4.6742 4.6742
angles (deg): 90.00 90.00 90.00
Fractional positions:
Ni 0.0000 0.5000 0.0000
Pb 0.5000 0.5000 0.5000
Ni 0.0000 0.0000 0.5000
Ni 0.5000 0.0000 0.0000
Ca 0.0000 0.0000 0.0000

***

No. 4
First-principles (PBE) data for an optimized crystal structure of LiAg2As, as listed in Alexandria via LeMat-Bulk.

Output
Formation enthalpy at 0 K ... 0.0 eV per formula unit
Symmetry ... No. 123
V ... 17.48 Å³/atom
Density of states at the Fermi level ... 1.08 states/eV/f.u.

a b c (Å): 2.9259 2.9259 8.1663
angles (deg): 90.00 90.00 89.96
Fractional positions:
Ag 0.0000 0.0000 0.5191
Li 0.5000 0.5000 0.7500
Ag 0.0000 0.0000 0.9809
As 0.5000 0.5000 0.2500

***

No. 5
First-principles (PBE) data for an optimized crystal structure of NbTc3P, as listed in Alexandria via LeMat-Bulk.

Output
Formation enthalpy at 0 K ... 1.0 eV per formula unit
Symmetry ... No. 221
Energy above the most stable polymorph in this dataset ... 0.0 kJ/mol of atoms
V ... 16.40 Å³/atom
Density of states at the Fermi level ... 1.85 states/eV/f.u.

a b c (Å): 4.3443 4.3443 4.3443
angles (deg): 90.00 90.00 90.00
Fractional positions:
Tc 0.0000 0.0000 0.5000
Tc 0.5000 0.0000 0.0000
Nb 0.5000 0.5000 0.5000
Tc 0.0000 0.5000 0.0000
P 0.0000 0.0000 0.0000

***

No. 6
First-principles (PBE) data for an optimized crystal structure of Y4GaTe2Se, as listed in Alexandria via LeMat-Bulk.

Output
Symmetry ... No. 10
Raw formation energy ... -126.96 kJ per mole of atoms
V ... 27.45 Å³/atom
Density of states at the Fermi level ... 2.82 states/eV/f.u.

a b c (Å): 4.2156 7.4929 7.3488
angles (deg): 71.11 90.00 90.00
Fractional positions:
Y 0.0000 0.7226 0.7501
Te 0.0000 0.0000 0.0000
Y 0.5000 0.2759 0.7345
Y 0.0000 0.2774 0.2499
Y 0.5000 0.7241 0.2655
Te 0.5000 0.0000 0.5000
Se 0.5000 0.5000 0.0000
Ga 0.0000 0.5000 0.5000